Here is In2SeBr after structural relaxation from Alexandria. Energies are from PBE.

abc: 4.367 4.367 7.737
angles: 74.38 74.38 60.32
Sites, in units of the cell vectors:
Se (0.750, 0.750, 0.750)
In (0.014, 0.014, 0.970)
In (0.486, 0.486, 0.530)
Br (0.250, 0.250, 0.250)

Final energy ... -12.46 eV per cell
Magnetic moment ... 0.000 Bohr magnetons per cell
Fermi-level density of states ... 0.64 states/eV per atom
Symmetry ... C2/m (12)

Here is BaDy2Mg after structural relaxation from Alexandria. Energies are from PBE.

abc: 3.845 3.845 9.568
angles: 90.00 90.00 90.00
Sites, in units of the cell vectors:
Dy (0.000, 0.000, 0.186)
Dy (0.000, 0.000, 0.814)
Mg (0.500, 0.500, 0.000)
Ba (0.500, 0.500, 0.500)

Magnetic moment ... 0.000 Bohr magnetons per cell
Fermi-level density of states ... 1.07 states/eV per atom
Symmetry ... P4/mmm (123)
Energy relative to the elements ... 106 meV per atom

Here is HfMn2Fe2 after structural relaxation from Alexandria. Energies are from PBE.

abc: 6.969 6.969 2.580
angles: 90.00 90.00 90.00
Sites, in units of the cell vectors:
Mn (0.381, 0.881, 0.000)
Mn (0.881, 0.619, 0.000)
Mn (0.619, 0.119, 0.000)
Mn (0.119, 0.381, 0.000)
Fe (0.671, 0.829, 0.500)
Fe (0.329, 0.171, 0.500)
Fe (0.171, 0.671, 0.500)
Fe (0.829, 0.329, 0.500)
Hf (0.000, 0.000, 0.000)
Hf (0.500, 0.500, 0.000)

Magnetic moment ... 0.000 Bohr magnetons per cell
Fermi-level density of states ... 0.96 states/eV per atom
Symmetry ... P4/mbm (127)
Energy relative to the elements ... 134 meV per atom

Here is ThPa2Hg after structural relaxation from Alexandria. Energies are from PBE.

abc: 5.048 4.566 4.566
angles: 90.00 90.00 90.00
Sites, in units of the cell vectors:
Th (0.500, 0.500, 0.500)
Hg (0.500, 0.000, 0.000)
Pa (0.000, 0.000, 0.500)
Pa (0.000, 0.500, 0.000)

Magnetic moment ... 0.001 Bohr magnetons per cell
Fermi-level density of states ... 2.18 states/eV per atom
Symmetry ... P4/mmm (123)
Energy relative to the elements ... 131 meV per atom

Here is MgAs2Ru after structural relaxation from Alexandria. Energies are from PBE.

abc: 4.015 4.015 6.268
angles: 77.46 77.46 46.69
Sites, in units of the cell vectors:
Ru (0.250, 0.250, 0.250)
As (0.507, 0.507, 0.463)
As (0.993, 0.993, 0.037)
Mg (0.750, 0.750, 0.750)

Magnetic moment ... 0.000 Bohr magnetons per cell
Fermi-level density of states ... 0.50 states/eV per atom
Symmetry ... C2/m (12)
Energy relative to the elements ... -169 meV per atom

Here is Si2Hg3 after structural relaxation from Alexandria. Energies are from PBE.

abc: 7.736 7.736 7.736
angles: 31.90 31.90 31.90
Sites, in units of the cell vectors:
Si (0.614, 0.614, 0.614)
Si (0.386, 0.386, 0.386)
Hg (0.210, 0.210, 0.210)
Hg (0.000, 0.000, 0.000)
Hg (0.790, 0.790, 0.790)

Final energy ... -9.51 eV per cell
Magnetic moment ... 0.000 Bohr magnetons per cell
Fermi-level density of states ... 0.37 states/eV per atom
Symmetry ... R-3m (166)

Here is NaPt2Pb after structural relaxation from Alexandria. Energies are from PBE.

abc: 4.092 4.248 4.248
angles: 90.00 90.00 90.00
Sites, in units of the cell vectors:
Pt (0.000, 0.000, 0.500)
Pt (0.000, 0.500, 0.000)
Pb (0.500, 0.500, 0.500)
Na (0.500, 0.000, 0.000)

Magnetic moment ... 0.000 Bohr magnetons per cell
Fermi-level density of states ... 0.29 states/eV per atom
Symmetry ... P4/mmm (123)
Energy relative to the elements ... -158 meV per atom

Here is CsV2NiSe after structural relaxation from Alexandria. Energies are from PBE.

abc: 5.028 4.768 5.028
angles: 90.00 90.00 90.00
Site moments in Bohr magnetons follow the coordinates.
Sites, in units of the cell vectors:
Cs (0.500, 0.500, 0.500)  0.15
V (0.500, 0.000, 0.000)  2.60
V (0.000, 0.000, 0.500)  3.16
Ni (0.000, 0.500, 0.000)  0.03
Se (0.000, 0.000, 0.000)  -0.07

Final energy ... -23.99 eV per cell
Magnetic moment ... 7.604 Bohr magnetons per cell
Fermi-level density of states ... 1.02 states/eV per atom
Symmetry ... P4/mmm (123)

Here is Pm2Y8Th after structural relaxation from Alexandria. Energies are from PBE.

abc: 5.831 8.980 9.189
angles: 60.75 76.34 61.09
Sites, in units of the cell vectors:
Y (0.500, 0.789, 0.422)
Y (0.705, 0.583, 0.000)
Y (0.160, 0.678, 0.225)
Y (0.295, 0.417, 0.000)
Y (0.500, 0.211, 0.578)
Y (0.840, 0.097, 0.225)
Y (0.840, 0.322, 0.775)
Y (0.160, 0.903, 0.775)
Th (0.500, 0.000, 0.000)
Pm (0.000, 0.305, 0.390)
Pm (0.000, 0.695, 0.610)

Magnetic moment ... 0.000 Bohr magnetons per cell
Fermi-level density of states ... 1.72 states/eV per atom
Symmetry ... C2/m (12)
Energy relative to the elements ... 181 meV per atom

Here is LiLa2SnTe4 after structural relaxation from Alexandria. Energies are from PBE.

abc: 4.504 7.935 7.778
angles: 71.03 90.00 90.00
Sites, in units of the cell vectors:
La (0.000, 0.000, 0.000)
La (0.500, 0.000, 0.500)
Te (0.500, 0.738, 0.258)
Te (0.500, 0.262, 0.742)
Te (0.000, 0.738, 0.748)
Te (0.000, 0.262, 0.252)
Li (0.000, 0.500, 0.500)
Sn (0.500, 0.500, 0.000)

Final energy ... -37.15 eV per cell
Magnetic moment ... 0.000 Bohr magnetons per cell
Fermi-level density of states ... 0.49 states/eV per atom
Symmetry ... P2/m (10)

Here is CePrAgRh after structural relaxation from Alexandria. Energies are from PBE.

abc: 5.139 5.139 5.139
angles: 60.00 60.00 60.00
Site moments in Bohr magnetons follow the coordinates.
Sites, in units of the cell vectors:
Ag (0.250, 0.250, 0.250)  0.00
Rh (0.750, 0.750, 0.750)  -0.07
Pr (0.500, 0.500, 0.500)  0.05
Ce (0.000, 0.000, 0.000)  0.69

Magnetic moment ... 0.843 Bohr magnetons per cell
Fermi-level density of states ... 2.17 states/eV per atom
Symmetry ... F-43m (216)
Energy relative to the elements ... -356 meV per atom

Here is Cs3Tl2In5 after structural relaxation from Alexandria. Energies are from PBE.

abc: 7.862 10.902 10.902
angles: 69.60 68.95 68.95
Sites, in units of the cell vectors:
In (0.250, 0.499, 0.501)
In (0.987, 0.263, 0.265)
In (0.620, 0.260, 0.501)
In (0.380, 0.740, 0.499)
In (0.013, 0.737, 0.735)
In (0.750, 0.501, 0.499)
In (0.880, 0.499, 0.740)
In (0.120, 0.501, 0.260)
In (0.513, 0.735, 0.737)
In (0.487, 0.265, 0.263)
Cs (0.881, 0.863, 0.375)
Cs (0.750, 0.002, 0.998)
Cs (0.619, 0.625, 0.137)
Cs (0.250, 0.998, 0.002)
Cs (0.119, 0.137, 0.625)
Cs (0.381, 0.375, 0.863)
Tl (0.336, 0.024, 0.309)
Tl (0.836, 0.309, 0.024)
Tl (0.164, 0.691, 0.976)
Tl (0.664, 0.976, 0.691)

Magnetic moment ... 0.000 Bohr magnetons per cell
Fermi-level density of states ... 0.71 states/eV per atom
Symmetry ... C2/c (15)
Energy relative to the elements ... -36 meV per atom

Here is SrCdSCl2 after structural relaxation from Alexandria. Energies are from PBE.

abc: 5.446 5.446 5.935
angles: 90.00 90.00 90.00
Site moments in Bohr magnetons follow the coordinates.
Sites, in units of the cell vectors:
Cl (0.500, 0.000, 0.000)  0.01
Cl (0.000, 0.500, 0.000)  0.01
Sr (0.000, 0.000, 0.000)  0.00
S (0.000, 0.000, 0.500)  0.12
Cd (0.500, 0.500, 0.500)  -0.03

Final energy ... -14.68 eV per cell
Magnetic moment ... 0.159 Bohr magnetons per cell
Fermi-level density of states ... 0.78 states/eV per atom
Symmetry ... P4/mmm (123)

| no. | calculated volume (A^3/atom) |
| --- | --- |
| 1 | 30.45 |
| 2 | 35.36 |
| 3 | 12.53 |
| 4 | 26.31 |
| 5 | 17.86 |
| 6 | 22.97 |
| 7 | 18.46 |
| 8 | 24.11 |
| 9 | 33.41 |
| 10 | 32.86 |
| 11 | 23.99 |
| 12 | 39.38 |
| 13 | 35.20 |